# 1
Compound: RbBa2OsO6
Source: Alexandria
Functional: GGA-PBE
Structure: relaxed

a = 6.121 Å, b = 6.580 Å, c = 8.849 Å
α = 90.00°, β = 89.28°, γ = 90.00°
Atoms (fractional coordinates):
Ba: 0.485 0.445 0.242
O: 0.103 0.439 0.800
O: 0.642 0.240 0.573
O: 0.358 0.760 0.427
O: 0.760 0.846 0.537
Rb: 0.500 0.000 0.000
Rb: 0.000 0.500 0.500
Ba: 0.515 0.555 0.758
O: 0.858 0.740 0.927
O: 0.142 0.260 0.073
Os: 0.000 0.500 0.000
Ba: 0.015 0.945 0.258
Os: 0.500 0.000 0.500
O: 0.603 0.061 0.300
O: 0.740 0.346 0.963
O: 0.240 0.154 0.463
O: 0.397 0.939 0.700
O: 0.897 0.561 0.200
O: 0.260 0.654 0.037
Ba: 0.985 0.055 0.742

Computed properties:
The electronic total energy comes out at -6.447 eV/atom. The formation energy from raw total energies is -1.868 eV/atom.

=====

# 2
Compound: Rb4BaOs3O12
Source: Alexandria
Functional: GGA-PBE
Structure: relaxed

a = 7.346 Å, b = 7.346 Å, c = 7.346 Å
α = 109.47°, β = 109.47°, γ = 109.47°
Atoms (fractional coordinates):
Rb: 0.000 0.500 0.000
O: 0.000 0.712 0.712
Rb: 0.000 0.000 0.500
O: 0.500 0.750 0.250
Os: 0.500 0.000 0.500
Rb: 0.500 0.500 0.500
O: 0.250 0.750 0.500
O: 0.750 0.500 0.250
O: 0.000 0.288 0.288
O: 0.750 0.250 0.500
O: 0.500 0.250 0.750
O: 0.712 0.000 0.712
O: 0.250 0.500 0.750
Rb: 0.500 0.000 0.000
Ba: 0.000 0.000 0.000
O: 0.288 0.000 0.288
O: 0.288 0.288 0.000
O: 0.712 0.712 0.000
Os: 0.500 0.500 0.000
Os: 0.000 0.500 0.500

Computed properties:
The electronic total energy comes out at -6.176 eV/atom. The formation energy from raw total energies is -1.227 eV/atom.

=====

# 3
Compound: RbBaOs2O8
Source: Alexandria
Functional: GGA-PBE
Structure: relaxed

a = 6.186 Å, b = 6.186 Å, c = 8.588 Å
α = 90.00°, β = 90.00°, γ = 120.00°
Atoms (fractional coordinates):
O: 0.174 0.827 0.758
O: 0.173 0.347 0.758
O: 0.826 0.173 0.242
O: 0.333 0.667 0.027
Rb: 0.000 0.000 0.500
Os: 0.667 0.333 0.182
Ba: 0.000 0.000 0.000
O: 0.667 0.333 0.973
O: 0.827 0.653 0.242
Os: 0.333 0.667 0.818
O: 0.653 0.826 0.758
O: 0.347 0.174 0.242

Computed properties:
The electronic total energy comes out at -6.839 eV/atom. The formation energy from raw total energies is -1.421 eV/atom.

=====

# 4
Compound: Rb2BaOs3O12
Source: Alexandria
Functional: GGA-PBE
Structure: relaxed

a = 7.260 Å, b = 7.260 Å, c = 7.260 Å
α = 61.55°, β = 61.55°, γ = 61.55°
Atoms (fractional coordinates):
O: 0.133 0.133 0.531
O: 0.531 0.133 0.133
Rb: 0.603 0.603 0.603
Os: 0.000 0.000 0.500
O: 0.728 0.110 0.728
O: 0.867 0.469 0.867
O: 0.469 0.867 0.867
O: 0.110 0.728 0.728
O: 0.272 0.890 0.272
Rb: 0.397 0.397 0.397
Ba: 0.000 0.000 0.000
O: 0.867 0.867 0.469
O: 0.133 0.531 0.133
Os: 0.000 0.500 0.000
O: 0.728 0.728 0.110
O: 0.272 0.272 0.890
Os: 0.500 0.000 0.000
O: 0.890 0.272 0.272

Computed properties:
The electronic total energy comes out at -6.779 eV/atom. The formation energy from raw total energies is -1.388 eV/atom.

=====

# 5
Compound: Rb4Ba3OsO8
Source: Alexandria
Functional: GGA-PBE
Structure: relaxed

a = 7.602 Å, b = 7.896 Å, c = 7.603 Å
α = 118.76°, β = 120.00°, γ = 90.00°
Atoms (fractional coordinates):
Rb: 0.000 0.000 0.000
O: 0.806 0.672 0.989
Ba: 0.500 0.500 0.000
O: 0.194 0.328 0.011
O: 0.263 0.288 0.525
O: 0.817 0.328 0.634
O: 0.183 0.672 0.989
Rb: 0.500 0.000 0.000
Ba: 0.500 0.500 0.500
Ba: 0.000 0.500 0.500
O: 0.183 0.672 0.366
Rb: 0.500 0.000 0.500
Rb: 0.000 0.000 0.500
O: 0.817 0.328 0.011
O: 0.737 0.712 0.475
Os: 0.000 0.500 0.000

Computed properties:
The electronic total energy comes out at -5.409 eV/atom. The formation energy from raw total energies is -1.626 eV/atom.

=====

# 6
Compound: Rb2BaOsO4
Source: Alexandria
Functional: GGA-PBE
Structure: relaxed

a = 5.959 Å, b = 5.959 Å, c = 5.959 Å
α = 101.62°, β = 113.53°, γ = 113.53°
Atoms (fractional coordinates):
O: 0.590 0.288 0.333
O: 0.410 0.743 0.698
O: 0.045 0.302 0.712
Os: 0.000 0.500 0.500
Rb: 0.000 0.000 0.000
Rb: 0.500 0.750 0.250
O: 0.955 0.667 0.257
Ba: 0.500 0.250 0.750

Computed properties:
The electronic total energy comes out at -5.910 eV/atom. The formation energy from raw total energies is -1.545 eV/atom.